No. 1
Entry from Alexandria: ScZn2Au at its PBEsol-relaxed geometry (meta-GGA SCAN).

Summary:
**Formation enthalpy at 0 K**: -2.30 eV per formula unit
**Total energy**: -28.182 eV/atom
**Spin magnetization**: 0.000 μB per atom

Structure (POSCAR):
```
ScZn2Au
1.0
-0.419 4.390 0.684
-4.011 1.933 -0.304
-2.038 1.502 3.676
Sc Zn Au
1 2 1
Direct
0.000 0.000 0.000
0.250 0.250 0.250
0.750 0.750 0.750
0.500 0.500 0.500
```

---

No. 2
Entry from Alexandria: ScZn2Au at its PBEsol-relaxed geometry (meta-GGA SCAN).

Summary:
**Formation enthalpy at 0 K**: -2.33 eV per formula unit
**Total energy**: -28.188 eV/atom
**Spin magnetization**: 0.000 μB per atom

Structure (POSCAR):
```
ScZn2Au
1.0
-1.058 2.915 3.230
-2.775 -3.451 -0.898
3.935 -0.778 1.990
Sc Zn Au
1 2 1
Direct
0.250 0.500 0.750
0.500 0.000 0.500
0.750 0.500 0.250
0.000 0.000 0.000
```

---

No. 3
Entry from Alexandria: ScZnAu at its PBEsol-relaxed geometry (meta-GGA SCAN).

Summary:
**Formation enthalpy at 0 K**: -2.05 eV per formula unit
**Total energy**: -32.987 eV/atom
**Spin magnetization**: 0.000 μB per atom

Structure (POSCAR):
```
ScZnAu
1.0
3.459 0.000 0.000
0.000 3.459 0.000
-1.729 -1.729 4.306
Sc Zn Au
1 1 1
Direct
0.333 0.333 0.667
0.662 0.662 0.324
0.005 0.005 0.009
```

---

No. 4
Entry from Alexandria: ScZnAu at its PBEsol-relaxed geometry (meta-GGA SCAN).

Summary:
**Formation enthalpy at 0 K**: -1.40 eV per formula unit
**Total energy**: -32.768 eV/atom
**Spin magnetization**: 0.002 μB per atom

Structure (POSCAR):
```
ScZnAu
1.0
4.323 0.000 0.000
2.161 3.744 0.000
2.161 1.248 3.530
Au Sc Zn
1 1 1
Direct
0.000 0.000 0.000
0.500 0.500 0.500
0.250 0.250 0.250
```

---

No. 5
Entry from Alexandria: ScZn2Au at its PBEsol-relaxed geometry (meta-GGA SCAN).

Summary:
**Formation enthalpy at 0 K**: -2.00 eV per formula unit
**Total energy**: -28.106 eV/atom
**Spin magnetization**: 0.000 μB per atom

Structure (POSCAR):
```
ScZn2Au
1.0
-1.530 -2.837 -2.272
3.622 -1.397 -0.694
-0.331 -2.546 3.402
Sc Zn Au
1 2 1
Direct
0.000 0.000 0.500
0.000 0.500 0.000
0.500 0.000 0.000
0.500 0.500 0.500
```

---

No. 6
Entry from Alexandria: ZrSc2Au at its PBEsol-relaxed geometry (meta-GGA SCAN).

Summary:
**Formation enthalpy at 0 K**: -1.84 eV per formula unit
**Total energy**: -32.543 eV/atom
**Spin magnetization**: 0.000 μB per atom
**ΔE to the lowest computed polymorph**: 0.00 kcal/mol of atoms

Structure (POSCAR):
```
ZrSc2Au
1.0
4.248 0.000 0.000
0.000 4.346 0.000
0.000 0.000 4.346
Au Sc Zr
1 2 1
Direct
0.500 0.000 0.000
0.000 0.000 0.500
0.000 0.500 0.000
0.500 0.500 0.500
```

---

No. 7
Entry from Alexandria: Zr3ScAu at its PBEsol-relaxed geometry (meta-GGA SCAN).

Summary:
**Formation enthalpy at 0 K**: 5.35 eV per formula unit
**Total energy**: -34.027 eV/atom
**Spin magnetization**: 0.000 μB per atom
**ΔE to the lowest computed polymorph**: 16.98 kcal/mol of atoms

Structure (POSCAR):
```
Zr3ScAu
1.0
-0.448 -4.624 -1.395
4.786 -0.614 0.500
-0.653 -1.331 4.619
Sc Au Zr
1 1 3
Direct
0.000 0.000 0.000
0.500 0.500 0.500
0.000 0.500 0.000
0.000 0.000 0.500
0.500 0.000 0.000
```

---

No. 8
Entry from Alexandria: ZrSc2Au at its PBEsol-relaxed geometry (meta-GGA SCAN).

Summary:
**Formation enthalpy at 0 K**: -1.17 eV per formula unit
**Total energy**: -32.374 eV/atom
**Spin magnetization**: 0.000 μB per atom
**ΔE to the lowest computed polymorph**: 3.88 kcal/mol of atoms

Structure (POSCAR):
```
ZrSc2Au
1.0
-0.277 2.881 1.449
-2.858 0.945 1.191
1.084 -2.658 9.107
Au Sc Zr
1 2 1
Direct
0.000 0.000 0.000
0.256 0.256 0.231
0.744 0.744 0.769
0.500 0.500 0.500
```

---

No. 9
Entry from Alexandria: ZrSc2Au2 at its PBEsol-relaxed geometry (meta-GGA SCAN).

Summary:
**Formation enthalpy at 0 K**: -4.17 eV per formula unit
**Total energy**: -40.332 eV/atom
**Spin magnetization**: 0.000 μB per atom

Structure (POSCAR):
```
ZrSc2Au2
1.0
-1.126 -0.454 -3.138
-2.339 -7.104 1.867
-6.878 2.806 2.062
Sc Au Zr
4 4 2
Direct
0.500 0.165 0.665
0.500 0.665 0.835
0.500 0.835 0.335
0.500 0.335 0.165
0.000 0.367 0.867
0.000 0.867 0.633
0.000 0.633 0.133
0.000 0.133 0.367
0.000 0.000 0.000
0.000 0.500 0.500
```

---

No. 10
Entry from Alexandria: ZrSc2Au at its PBEsol-relaxed geometry (meta-GGA SCAN).

Summary:
**Formation enthalpy at 0 K**: -1.81 eV per formula unit
**Total energy**: -32.534 eV/atom
**Spin magnetization**: 0.000 μB per atom
**ΔE to the lowest computed polymorph**: 0.20 kcal/mol of atoms

Structure (POSCAR):
```
ZrSc2Au
1.0
3.499 0.000 0.000
0.000 4.767 0.000
-1.750 -2.383 4.952
Au Sc Zr
1 2 1
Direct
0.500 0.000 0.000
0.773 0.773 0.547
0.227 0.227 0.453
0.000 0.500 0.000
```

---

No. 11
Entry from Alexandria: ZrScAu at its PBEsol-relaxed geometry (meta-GGA SCAN).

Summary:
**Formation enthalpy at 0 K**: -1.29 eV per formula unit
**Total energy**: -38.459 eV/atom
**Spin magnetization**: 0.000 μB per atom

Structure (POSCAR):
```
ZrScAu
1.0
-1.233 0.878 -2.893
-4.222 -1.296 1.407
1.444 4.348 0.703
Au Sc Zr
1 1 1
Direct
0.016 0.000 0.000
0.709 0.667 0.333
0.275 0.333 0.667
```

---

No. 12
Entry from Alexandria: Zr3ScAu at its PBEsol-relaxed geometry (meta-GGA SCAN).

Summary:
**Formation enthalpy at 0 K**: 1.67 eV per formula unit
**Total energy**: -34.764 eV/atom
**Spin magnetization**: 0.000 μB per atom
**ΔE to the lowest computed polymorph**: 0.00 kcal/mol of atoms

Structure (POSCAR):
```
Zr3ScAu
1.0
-3.953 3.013 -1.240
1.174 -0.501 -4.961
-3.039 -4.112 -0.304
Sc Au Zr
1 1 3
Direct
0.500 0.500 0.500
0.000 0.000 0.000
0.000 0.500 0.000
0.000 0.000 0.500
0.500 0.000 0.000
```

---

No. 13
Entry from Alexandria: AuSe at its PBEsol-relaxed geometry (meta-GGA SCAN).

Summary:
**Energy relative to the elements, uncorrected**: 0.05 eV/atom
**Total energy**: -44.570 eV/atom
**Spin magnetization**: 0.000 μB per atom

Structure (POSCAR):
```
AuSe
1.0
3.812 0.000 0.000
1.906 3.302 0.000
1.906 1.101 3.113
Au Se
1 1
Direct
0.500 0.500 0.500
0.000 0.000 0.000
```

---

No. 14
Entry from Alexandria: Au2Se at its PBEsol-relaxed geometry (meta-GGA SCAN).

Summary:
**Energy relative to the elements, uncorrected**: 0.35 eV/atom
**Total energy**: -52.451 eV/atom
**Spin magnetization**: 0.000 μB per atom

Structure (POSCAR):
```
Au2Se
1.0
4.434 0.000 0.000
2.217 3.840 0.000
2.217 1.280 3.620
Au Se
2 1
Direct
0.750 0.750 0.750
0.250 0.250 0.250
0.000 0.000 0.000
```

---

No. 15
Entry from Alexandria: AuSe at its PBEsol-relaxed geometry (meta-GGA SCAN).

Summary:
**Energy relative to the elements, uncorrected**: -0.14 eV/atom
**Total energy**: -44.753 eV/atom
**Spin magnetization**: 0.000 μB per atom

Structure (POSCAR):
```
AuSe
1.0
-1.550 2.229 2.565
1.737 -3.650 1.502
4.777 4.260 -0.815
Au Se
2 2
Direct
0.500 0.000 0.500
0.000 0.000 0.000
0.829 0.659 0.257
0.171 0.341 0.743
```

---

Ordered calculated volume results: 62.9, 64.6, 51.5, 57.1, 66.3, 80.2, 114.1, 85.0, 199.9, 82.6, 60.7, 134.4, 39.2, 61.6, 88.2; unit Å³ per cell.